Entry w
# ScBeGa, optimized geometry, DFT PBE
data_ScBeGa
_cell_length_a 4.0871
_cell_length_b 4.0871
_cell_length_c 19.9024
_cell_angle_alpha 90.00
_cell_angle_beta 90.00
_cell_angle_gamma 120.00
_symmetry_space_group_name_H-M 'R 3 m'
_symmetry_Int_Tables_number 160
_symmetry_space_group_name_Hall 'R 3 -2"'
loop_
_atom_site_label
_atom_site_fract_x
_atom_site_fract_y
_atom_site_fract_z
_atom_site_occupancy
Sc1 0.0000 0.0000 0.0000 1
Sc2 0.0000 0.0000 0.1660 1
Be1 0.0000 0.0000 0.7554 1
Be2 0.0000 0.0000 0.8744 1
Ga1 0.0000 0.0000 0.4176 1
Ga2 0.0000 0.0000 0.5799 1
# Fermi-level density of states = 10.39 states/eV per cell

=====

Entry x
# ScBeGa, optimized geometry, DFT PBE
data_ScBeGa
_cell_length_a 4.123
_cell_length_b 7.004
_cell_length_c 6.537
_cell_angle_alpha 90.00
_cell_angle_beta 90.00
_cell_angle_gamma 90.00
_symmetry_space_group_name_H-M 'I m a 2'
_symmetry_Int_Tables_number 46
loop_
_symmetry_equiv_pos_as_xyz
'x,y,z'
'-x,-y,z'
'-x+1/2,y,z'
'x+1/2,-y,z'
'x+1/2,y+1/2,z+1/2'
'-x+1/2,-y+1/2,z+1/2'
'-x,y+1/2,z+1/2'
'x,-y+1/2,z+1/2'
loop_
_atom_site_label
_atom_site_fract_x
_atom_site_fract_y
_atom_site_fract_z
_atom_site_occupancy
Sc1 0.250 0.222 0.000 1
Be1 0.250 0.572 0.796 1
Ga1 0.250 0.604 0.214 1
# Fermi-level density of states = 7.36 states/eV per cell

=====

Entry y
# ScBeGa, optimized geometry, DFT PBE
data_ScBeGa
_cell_length_a 10.701
_cell_length_b 3.726
_cell_length_c 4.958
_cell_angle_alpha 90.00
_cell_angle_beta 107.11
_cell_angle_gamma 90.00
_symmetry_space_group_name_H-M 'C 1 2/m 1'
_symmetry_Int_Tables_number 12
loop_
_symmetry_equiv_pos_as_xyz
'x,y,z'
'-x,-y,-z'
'-x,y,-z'
'x,-y,z'
'x+1/2,y+1/2,z'
'-x+1/2,-y+1/2,-z'
'-x+1/2,y+1/2,-z'
'x+1/2,-y+1/2,z'
loop_
_atom_site_label
_atom_site_fract_x
_atom_site_fract_y
_atom_site_fract_z
_atom_site_occupancy
Sc1 0.124 0.000 0.296 1
Be1 0.224 0.000 0.857 1
Ga1 0.096 0.500 0.750 1
# Fermi-level density of states = 6.68 states/eV per cell

=====

Name the least stable of them. entry y.

=====

Entry w
# ScBe2Ga2, optimized geometry, DFT PBE
data_ScBe2Ga2
_cell_length_a 3.761
_cell_length_b 3.761
_cell_length_c 10.163
_cell_angle_alpha 90.00
_cell_angle_beta 90.00
_cell_angle_gamma 90.00
_symmetry_space_group_name_H-M 'I 4/m m m'
_symmetry_Int_Tables_number 139
_symmetry_space_group_name_Hall '-I 4 2'
loop_
_atom_site_label
_atom_site_fract_x
_atom_site_fract_y
_atom_site_fract_z
_atom_site_occupancy
Sc1 0.000 0.000 0.000 1
Be1 0.000 0.500 0.250 1
Ga1 0.000 0.000 0.381 1
# Fermi-level density of states = 2.32 states/eV per cell

=====

Entry x
# ScBe2Ga2, optimized geometry, DFT PBE
data_ScBe2Ga2
_cell_length_a 7.023
_cell_length_b 7.023
_cell_length_c 2.896
_cell_angle_alpha 90.00
_cell_angle_beta 90.00
_cell_angle_gamma 90.00
_symmetry_space_group_name_H-M 'P 4/m b m'
_symmetry_Int_Tables_number 127
_symmetry_space_group_name_Hall '-P 4 2ab'
loop_
_atom_site_label
_atom_site_fract_x
_atom_site_fract_y
_atom_site_fract_z
_atom_site_occupancy
Sc1 0.000 0.000 0.000 1
Be1 0.115 0.385 0.000 1
Ga1 0.175 0.675 0.500 1
# Fermi-level density of states = 4.81 states/eV per cell

=====

Name the least stable of them. entry x.

=====

Entry w
# Sc2Be2Ga, optimized geometry, DFT PBE
data_Sc2Be2Ga
_cell_length_a 6.279
_cell_length_b 6.279
_cell_length_c 3.999
_cell_angle_alpha 90.00
_cell_angle_beta 90.00
_cell_angle_gamma 90.00
_symmetry_space_group_name_H-M 'P 4/m b m'
_symmetry_Int_Tables_number 127
_symmetry_space_group_name_Hall '-P 4 2ab'
loop_
_atom_site_label
_atom_site_fract_x
_atom_site_fract_y
_atom_site_fract_z
_atom_site_occupancy
Sc1 0.172 0.328 0.000 1
Be1 0.122 0.622 0.500 1
Ga1 0.000 0.000 0.500 1
# Fermi-level density of states = 8.36 states/eV per cell

=====

Entry x
# Sc2Be2Ga, optimized geometry, DFT PBE
data_Sc2Be2Ga
_cell_length_a 3.022
_cell_length_b 3.022
_cell_length_c 17.654
_cell_angle_alpha 90.00
_cell_angle_beta 90.00
_cell_angle_gamma 90.00
_symmetry_space_group_name_H-M 'I 4/m m m'
_symmetry_Int_Tables_number 139
_symmetry_space_group_name_Hall '-I 4 2'
loop_
_atom_site_label
_atom_site_fract_x
_atom_site_fract_y
_atom_site_fract_z
_atom_site_occupancy
Sc1 0.000 0.000 0.112 1
Be1 0.000 0.500 0.250 1
Ga1 0.000 0.000 0.500 1
# Fermi-level density of states = 6.90 states/eV per cell

=====

Entry y
# Sc2Be2Ga, optimized geometry, DFT PBE
data_Sc2Be2Ga
_cell_length_a 7.517
_cell_length_b 7.517
_cell_length_c 3.109
_cell_angle_alpha 90.00
_cell_angle_beta 90.00
_cell_angle_gamma 90.00
_symmetry_space_group_name_H-M 'P 4/m b m'
_symmetry_Int_Tables_number 127
_symmetry_space_group_name_Hall '-P 4 2ab'
loop_
_atom_site_label
_atom_site_fract_x
_atom_site_fract_y
_atom_site_fract_z
_atom_site_occupancy
Sc1 0.181 0.319 0.000 1
Be1 0.103 0.603 0.500 1
Ga1 0.000 0.000 0.000 1
# Fermi-level density of states = 7.53 states/eV per cell

=====

Name the least stable of them. entry y.

=====

Entry w
# BeGaSe3, optimized geometry, DFT PBE
data_BeGaSe3
_cell_length_a 4.944
_cell_length_b 4.944
_cell_length_c 4.944
_cell_angle_alpha 90.00
_cell_angle_beta 90.00
_cell_angle_gamma 90.00
_symmetry_space_group_name_H-M 'P m -3 m'
_symmetry_Int_Tables_number 221
_symmetry_space_group_name_Hall '-P 4 2 3'
loop_
_atom_site_label
_atom_site_fract_x
_atom_site_fract_y
_atom_site_fract_z
_atom_site_occupancy
Be1 0.000 0.000 0.000 1
Ga1 0.500 0.500 0.500 1
Se1 0.000 0.500 0.500 1
# Fermi-level density of states = 3.70 states/eV per cell

=====

Entry x
# BeGaSe3, optimized geometry, DFT PBE
data_BeGaSe3
_cell_length_a 4.687
_cell_length_b 4.687
_cell_length_c 4.687
_cell_angle_alpha 90.00
_cell_angle_beta 90.00
_cell_angle_gamma 90.00
_symmetry_space_group_name_H-M 'P m -3 m'
_symmetry_Int_Tables_number 221
_symmetry_space_group_name_Hall '-P 4 2 3'
loop_
_atom_site_label
_atom_site_fract_x
_atom_site_fract_y
_atom_site_fract_z
_atom_site_occupancy
Be1 0.000 0.000 0.000 1
Ga1 0.500 0.500 0.500 1
Se1 0.000 0.000 0.500 1
# Fermi-level density of states = 6.39 states/eV per cell

=====

Name the least stable of them. entry w.